! Pt3AuO (PBE-GGA, optimized geometry); values from VASP
! **Space group**: Pm-3m, No. 221
! **Energy above the lowest structure with this stoichiometry**: 0.0 meV/atom
! **Energy relative to the elements, uncorrected**: 0.501 eV/atom
&SYSTEM
  ibrav = 0, nat = 5, ntyp = 3
/
ATOMIC_SPECIES
Pt 195.08 Pt.upf
O 16.00 O.upf
Au 196.97 Au.upf
CELL_PARAMETERS angstrom
4.271 0.000 0.000
0.000 4.271 0.000
0.000 0.000 4.271
ATOMIC_POSITIONS crystal
Pt 0.000 0.000 0.500
Pt 0.500 0.000 0.000
Pt 0.000 0.500 0.000
O 0.000 0.000 0.000
Au 0.500 0.500 0.500

=====

! K17Na11Pb (PBE-GGA, optimized geometry); values from VASP
! **Calculated formation energy**: 0.002 eV/atom
! **Space group**: Cm, No. 8
&SYSTEM
  ibrav = 0, nat = 29, ntyp = 3
/
ATOMIC_SPECIES
K 39.10 K.upf
Na 22.99 Na.upf
Pb 207.20 Pb.upf
CELL_PARAMETERS angstrom
-4.904 5.256 -10.303
10.924 -5.406 -3.044
-7.870 -8.935 4.036
ATOMIC_POSITIONS crystal
K 0.398 0.663 0.388
K 0.013 0.352 0.006
K 0.330 0.994 0.577
K 0.996 0.996 0.359
K 0.324 0.571 0.000
K 0.396 0.396 0.686
K 0.300 0.703 0.703
K 0.691 0.691 0.696
K 0.352 0.013 0.006
K 0.582 0.995 0.326
K 0.995 0.582 0.326
K 0.994 0.330 0.577
K 0.663 0.398 0.388
K 0.571 0.324 0.000
K 0.703 0.300 0.703
K 0.677 0.677 0.281
K 0.017 0.017 0.011
Na 0.007 0.826 0.638
Na 0.827 0.645 0.015
Na 0.808 0.179 0.179
Na 0.014 0.649 0.829
Na 0.649 0.014 0.829
Na 0.343 0.175 0.330
Na 0.179 0.808 0.179
Na 0.645 0.827 0.015
Na 0.185 0.185 0.832
Na 0.826 0.007 0.638
Na 0.175 0.343 0.330
Pb 0.340 0.340 0.152

=====

! KIrBr4 (PBE-GGA, optimized geometry); values from VASP
! **Space group**: C2/c, No. 15
! **Energy above the lowest structure with this stoichiometry**: 0.0 meV/atom
! **Energy relative to the elements, uncorrected**: -0.657 eV/atom
&SYSTEM
  ibrav = 0, nat = 12, ntyp = 3
/
ATOMIC_SPECIES
Br 79.90 Br.upf
Ir 192.22 Ir.upf
K 39.10 K.upf
CELL_PARAMETERS angstrom
-3.771 -1.435 4.706
-0.619 -6.464 -2.467
8.340 0.480 2.745
ATOMIC_POSITIONS crystal
Br 0.735 0.431 0.196
Br 0.265 0.569 0.804
Br 0.539 0.069 0.804
Br 0.461 0.931 0.196
Br 0.123 0.157 0.401
Br 0.877 0.843 0.599
Br 0.278 0.657 0.401
Br 0.722 0.343 0.599
Ir 0.000 0.500 0.500
Ir 0.500 0.000 0.500
K 0.832 0.750 0.000
K 0.168 0.250 0.000

=====

! SmTm2B6 (PBE-GGA, optimized geometry); values from VASP
! **Calculated formation energy**: -0.554 eV/atom
! **Space group**: P6/mmm, No. 191
&SYSTEM
  ibrav = 0, nat = 9, ntyp = 3
/
ATOMIC_SPECIES
Tm 168.93 Tm.upf
B 10.81 B.upf
Sm 150.36 Sm.upf
CELL_PARAMETERS angstrom
-2.176 -3.160 0.504
-0.098 -0.830 -5.630
4.124 -2.338 3.149
ATOMIC_POSITIONS crystal
Tm 0.000 0.667 0.333
Tm 0.000 0.333 0.667
B 0.500 0.662 0.000
B 0.500 0.000 0.662
B 0.500 0.000 0.338
B 0.500 0.662 0.662
B 0.500 0.338 0.338
B 0.500 0.338 0.000
Sm 0.000 0.000 0.000

=====

! Pr6YErTm2 (PBE-GGA, optimized geometry); values from VASP
! **Calculated formation energy**: 0.114 eV/atom
! **Space group**: C2/c, No. 15
&SYSTEM
  ibrav = 0, nat = 20, ntyp = 4
/
ATOMIC_SPECIES
Pr 140.91 Pr.upf
Tm 168.93 Tm.upf
Er 167.26 Er.upf
Y 88.91 Y.upf
CELL_PARAMETERS angstrom
-2.851 7.679 -5.171
1.396 -5.133 -7.255
-7.878 -0.817 4.268
ATOMIC_POSITIONS crystal
Pr 0.189 0.563 0.007
Pr 0.118 0.707 0.492
Pr 0.382 0.508 0.293
Pr 0.618 0.492 0.707
Pr 0.947 0.884 0.237
Pr 0.689 0.007 0.563
Pr 0.447 0.237 0.884
Pr 0.311 0.993 0.437
Pr 0.882 0.293 0.508
Pr 0.053 0.116 0.763
Pr 0.811 0.437 0.993
Pr 0.553 0.763 0.116
Tm 0.046 0.298 0.200
Tm 0.454 0.800 0.702
Tm 0.954 0.702 0.800
Tm 0.546 0.200 0.298
Er 0.250 0.412 0.588
Er 0.750 0.588 0.412
Y 0.250 0.973 0.027
Y 0.750 0.027 0.973

=====

! YFeSb2 (PBE-GGA, optimized geometry); values from VASP
! **Space group**: Immm, No. 71
! **Energy relative to the elements, uncorrected**: -0.185 eV/atom
&SYSTEM
  ibrav = 0, nat = 4, ntyp = 3
/
ATOMIC_SPECIES
Y 88.91 Y.upf
Sb 121.76 Sb.upf
Fe 55.84 Fe.upf
CELL_PARAMETERS angstrom
-0.778 -0.856 5.072
-2.950 -4.158 -1.034
5.008 0.987 -1.004
ATOMIC_POSITIONS crystal
Y 0.750 0.250 0.500
Sb 0.045 0.045 0.000
Sb 0.455 0.455 0.000
Fe 0.250 0.750 0.500

=====

! Sc2SnS (PBE-GGA, optimized geometry); values from VASP
! **Space group**: I-42d, No. 122
! **Energy above the lowest structure with this stoichiometry**: 526.8 meV/atom
! **Energy relative to the elements, uncorrected**: -0.712 eV/atom
&SYSTEM
  ibrav = 0, nat = 8, ntyp = 3
/
ATOMIC_SPECIES
Sn 118.71 Sn.upf
S 32.06 S.upf
Sc 44.96 Sc.upf
CELL_PARAMETERS angstrom
6.125 0.000 0.000
0.000 6.125 0.000
3.063 3.063 6.312
ATOMIC_POSITIONS crystal
Sn 0.000 0.000 0.000
Sn 0.750 0.250 0.500
S 0.500 0.500 0.000
S 0.250 0.750 0.500
Sc 0.168 0.625 0.250
Sc 0.582 0.125 0.250
Sc 0.375 0.418 0.750
Sc 0.875 0.832 0.750

=====

! BeTlNi (PBE-GGA, optimized geometry); values from VASP
! **Calculated formation energy**: 0.377 eV/atom
! **Space group**: F-43m, No. 216
! **Energy above the lowest structure with this stoichiometry**: 139.6 meV/atom
&SYSTEM
  ibrav = 0, nat = 3, ntyp = 3
/
ATOMIC_SPECIES
Be 9.01 Be.upf
Ni 58.69 Ni.upf
Tl 204.38 Tl.upf
CELL_PARAMETERS angstrom
-2.729 0.603 -2.892
-3.843 -1.012 0.619
-2.789 2.866 0.433
ATOMIC_POSITIONS crystal
Be 0.750 0.750 0.750
Ni 0.000 0.000 0.000
Tl 0.500 0.500 0.500